DFT (PBE) results for ZnCd6Hg12 after structural relaxation.

a b c (Å): 7.9015 7.9015 7.9015
angles (deg): 87.60 87.60 87.60
With the nearest neighbours (Å) after each atom.
Fractional positions:
Hg (0.4850, 0.8036, 0.4772)  2 Cd 3.01-3.05, 4 Hg 3.16-3.29
Hg (0.3753, 0.1525, 0.0459)  2 Cd 3.03-3.08, 4 Hg 3.14-3.29, 1 Zn 3.29
Hg (0.5150, 0.1964, 0.5228)  2 Cd 3.01-3.05, 4 Hg 3.16-3.29
Hg (0.1964, 0.5228, 0.5150)  2 Cd 3.01-3.05, 4 Hg 3.16-3.29
Hg (0.4772, 0.4850, 0.8036)  2 Cd 3.01-3.05, 4 Hg 3.16-3.29
Hg (0.8475, 0.9541, 0.6247)  2 Cd 3.03-3.08, 4 Hg 3.14-3.29, 1 Zn 3.29
Hg (0.0459, 0.3753, 0.1525)  2 Cd 3.03-3.08, 4 Hg 3.14-3.29, 1 Zn 3.29
Hg (0.5228, 0.5150, 0.1964)  2 Cd 3.01-3.05, 4 Hg 3.16-3.29
Hg (0.1525, 0.0459, 0.3753)  2 Cd 3.03-3.08, 4 Hg 3.14-3.29, 1 Zn 3.29
Hg (0.9541, 0.6247, 0.8475)  2 Cd 3.03-3.08, 4 Hg 3.14-3.29, 1 Zn 3.29
Hg (0.6247, 0.8475, 0.9541)  2 Cd 3.03-3.08, 4 Hg 3.14-3.29, 1 Zn 3.29
Hg (0.8036, 0.4772, 0.4850)  2 Cd 3.01-3.05, 4 Hg 3.16-3.29
Cd (0.8055, 0.2800, 0.8252)  1 Zn 2.97, 4 Hg 3.01-3.08, 2 Cd 3.06
Cd (0.1945, 0.7200, 0.1748)  1 Zn 2.97, 4 Hg 3.01-3.08, 2 Cd 3.06
Cd (0.7200, 0.1748, 0.1945)  1 Zn 2.97, 4 Hg 3.01-3.08, 2 Cd 3.06
Cd (0.2800, 0.8252, 0.8055)  1 Zn 2.97, 4 Hg 3.01-3.08, 2 Cd 3.06
Cd (0.8252, 0.8055, 0.2800)  1 Zn 2.97, 4 Hg 3.01-3.08, 2 Cd 3.06
Cd (0.1748, 0.1945, 0.7200)  1 Zn 2.97, 4 Hg 3.01-3.08, 2 Cd 3.06
Zn (0.0000, 0.0000, 0.0000)  6 Cd 2.97, 6 Hg 3.29

VASP energy ... -0.50 eV per atom


DFT (PBE) results for CsNiAs2Se after structural relaxation.

a b c (Å): 5.9082 5.9082 5.9583
angles (deg): 90.00 90.00 90.00
With the nearest neighbours (Å) after each atom.
Fractional positions:
As (0.5000, 0.0000, 0.0000)  2 Cs 2.95
As (0.0000, 0.5000, 0.0000)  2 Cs 2.95
Se (0.0000, 0.0000, 0.5000)  2 Cs 2.98
Ni (0.5000, 0.5000, 0.5000)  4 Se 4.18, 8 As 4.20
Cs (0.0000, 0.0000, 0.0000)  4 As 2.95, 2 Se 2.98

Formation energy (no corrections) ... 2.0551 eV/atom